(1)
The following is a DFT calculation (PBE) of a relaxed structure of KSrCr2Si.

```
KSrCr2Si
1.0
5.3874 0.0000 0.0000
0.0000 5.3874 0.0000
0.0000 0.0000 5.7553
K Sr Cr Si
1 1 2 1
direct
0.0000 0.0000 0.0000 K
0.5000 0.5000 0.5000 Sr
0.0000 0.5000 0.0000 Cr
0.5000 0.0000 0.0000 Cr
0.0000 0.0000 0.5000 Si
```

The calculation puts the magnetization at 9.00 μB/f.u. The calculation puts the calculated volume at 33.4 A^3/atom. The value obtained for the density of states at the Fermi level is 2.37 states/eV/f.u. The calculation puts the uncorrected formation energy at 1563 meV/atom. The final energy comes out at -0.144 hartree per atom.

---

(2)
The following is a DFT calculation (PBE) of a relaxed structure of BaScBiH2.

```
BaScBiH2
1.0
2.2145 -6.4886 0.0000
2.2145 6.4886 0.0000
0.0000 0.0000 7.4855
Ba Sc Bi H
2 2 2 4
direct
0.2169 0.7831 0.7500 Ba
0.7831 0.2169 0.2500 Ba
0.5000 0.5000 0.0000 Sc
0.5000 0.5000 0.5000 Sc
0.0627 0.9373 0.2500 Bi
0.9373 0.0627 0.7500 Bi
0.3456 0.6544 0.0595 H
0.3456 0.6544 0.4405 H
0.6544 0.3456 0.5595 H
0.6544 0.3456 0.9405 H
```

The calculation puts the magnetization at 0.00 μB/f.u. The calculation puts the calculated volume at 21.5 A^3/atom. The value obtained for the density of states at the Fermi level is 0.27 states/eV/f.u. The final energy comes out at -0.164 hartree per atom.

---

(3)
The following is a DFT calculation (PBE) of a relaxed structure of Ti2InNi2.

```
Ti2InNi2
1.0
6.9456 0.0000 0.0000
0.0000 6.9456 0.0000
0.0000 0.0000 6.2536
Ti In Ni
8 4 8
direct
0.1506 0.1506 0.0000 Ti
0.1782 0.1782 0.5000 Ti
0.3218 0.6782 0.0000 Ti
0.3494 0.6506 0.5000 Ti
0.6506 0.3494 0.5000 Ti
0.6782 0.3218 0.0000 Ti
0.8218 0.8218 0.5000 Ti
0.8494 0.8494 0.0000 Ti
0.0000 0.5000 0.2500 In
0.0000 0.5000 0.7500 In
0.5000 0.0000 0.2500 In
0.5000 0.0000 0.7500 In
0.1267 0.8733 0.2835 Ni
0.1267 0.8733 0.7165 Ni
0.3733 0.3733 0.2165 Ni
0.3733 0.3733 0.7835 Ni
0.6267 0.6267 0.2165 Ni
0.6267 0.6267 0.7835 Ni
0.8733 0.1267 0.2835 Ni
0.8733 0.1267 0.7165 Ni
```

The calculation puts the magnetization at 0.00 μB/f.u. The calculation puts the calculated volume at 15.1 A^3/atom. The value obtained for the density of states at the Fermi level is 4.38 states/eV/f.u. The final energy comes out at -0.236 hartree per atom.

---

(4)
The following is a DFT calculation (PBE) of a relaxed structure of AcThMgCd.

```
AcThMgCd
1.0
7.9123 0.0000 0.0000
0.0000 7.9123 0.0000
0.0000 0.0000 7.9123
Ac Th Mg Cd
4 4 4 4
direct
0.0000 0.0000 0.0000 Ac
0.0000 0.5000 0.5000 Ac
0.5000 0.0000 0.5000 Ac
0.5000 0.5000 0.0000 Ac
0.0000 0.0000 0.5000 Th
0.0000 0.5000 0.0000 Th
0.5000 0.0000 0.0000 Th
0.5000 0.5000 0.5000 Th
0.2500 0.2500 0.7500 Mg
0.2500 0.7500 0.2500 Mg
0.7500 0.2500 0.2500 Mg
0.7500 0.7500 0.7500 Mg
0.2500 0.2500 0.2500 Cd
0.2500 0.7500 0.7500 Cd
0.7500 0.2500 0.7500 Cd
0.7500 0.7500 0.2500 Cd
```

The calculation puts the magnetization at 0.00 μB/f.u. The calculation puts the calculated volume at 31.0 A^3/atom. The value obtained for the density of states at the Fermi level is 5.08 states/eV/f.u. The final energy comes out at -0.130 hartree per atom.

---

(5)
The following is a DFT calculation (PBE) of a relaxed structure of Sc2PaTaN4.

```
Sc2PaTaN4
1.0
5.6167 0.0000 0.0000
0.0000 3.2385 0.0000
-1.8593 0.0000 5.3842
Sc Pa Ta N
2 1 1 4
direct
0.0000 0.0000 0.0000 Sc
0.5000 0.5000 0.0000 Sc
0.0000 0.5000 0.5000 Pa
0.5000 0.0000 0.5000 Ta
0.2611 0.5000 0.2528 N
0.2648 0.0000 0.7614 N
0.7352 0.0000 0.2386 N
0.7389 0.5000 0.7472 N
```

The calculation puts the magnetization at 0.00 μB/f.u. The calculation puts the calculated volume at 12.2 A^3/atom. The value obtained for the density of states at the Fermi level is 3.48 states/eV/f.u. The calculation puts the uncorrected formation energy at -1586 meV/atom. The final energy comes out at -0.368 hartree per atom.

---

(6)
The following is a DFT calculation (PBE) of a relaxed structure of Dy4MgCuRu2.

```
Dy4MgCuRu2
1.0
2.4602 1.4204 8.1087
-2.4602 1.4204 8.1087
0.0000 -2.8408 8.1087
Dy Mg Cu Ru
4 1 1 2
direct
0.1201 0.1201 0.1201 Dy
0.3715 0.3715 0.3715 Dy
0.6285 0.6285 0.6285 Dy
0.8799 0.8799 0.8799 Dy
0.5000 0.5000 0.5000 Mg
0.0000 0.0000 0.0000 Cu
0.2478 0.2478 0.2478 Ru
0.7522 0.7522 0.7522 Ru
```

The calculation puts the magnetization at 0.00 μB/f.u. The calculation puts the calculated volume at 21.3 A^3/atom. The value obtained for the density of states at the Fermi level is 5.36 states/eV/f.u. The final energy comes out at -0.206 hartree per atom.

---

(7)
The following is a DFT calculation (PBE) of a relaxed structure of MnFeP2.

```
MnFeP2
1.0
2.7125 0.0000 0.0000
-1.3563 2.3491 0.0000
0.0000 0.0000 20.7649
Mn Fe P
3 3 6
direct
0.0000 0.0000 0.0000 Mn
0.3333 0.6667 0.6667 Mn
0.6667 0.3333 0.3333 Mn
0.0000 0.0000 0.5000 Fe
0.3333 0.6667 0.1667 Fe
0.6667 0.3333 0.8333 Fe
0.0000 0.0000 0.2499 P
0.0000 0.0000 0.7501 P
0.3333 0.6667 0.4167 P
0.3333 0.6667 0.9166 P
0.6667 0.3333 0.0834 P
0.6667 0.3333 0.5833 P
```

The calculation puts the magnetization at 0.06 μB/f.u. The calculation puts the calculated volume at 11.0 A^3/atom. For the polymorph energy (0 for the lowest one), the calculation gives 0.379 eV per atom. The value obtained for the density of states at the Fermi level is 4.70 states/eV/f.u. The final energy comes out at -0.269 hartree per atom.

---

(8)
The following is a DFT calculation (PBE) of a relaxed structure of CdNiPS2.

```
CdNiPS2
1.0
4.9856 0.0000 0.0000
0.0000 4.9856 0.0000
0.0000 0.0000 4.8960
Cd Ni P S
1 1 1 2
direct
0.0000 0.0000 0.0000 Cd
0.5000 0.5000 0.5000 Ni
0.0000 0.0000 0.5000 P
0.0000 0.5000 0.0000 S
0.5000 0.0000 0.0000 S
```

The calculation puts the magnetization at 2.27 μB/f.u. The calculation puts the calculated volume at 24.3 A^3/atom. For the polymorph energy (0 for the lowest one), the calculation gives 1.040 eV per atom. The value obtained for the density of states at the Fermi level is 10.11 states/eV/f.u. The calculation puts the uncorrected formation energy at 1368 meV/atom. The final energy comes out at -0.099 hartree per atom.

---

Q: magnetization of number 4 (AcThMgCd)?
A: 0.00 μB/f.u.

---

Q: Number 8 is which compound?
A: CdNiPS2